Record 1
CrHg2Br | PBE-GGA | optimized geometry Values from VASP.

Geometry as Quantum ESPRESSO input:
```
&SYSTEM
  ibrav = 0, nat = 4, ntyp = 3
/
ATOMIC_SPECIES
Cr 52.00 Cr.upf
Hg 200.59 Hg.upf
Br 79.90 Br.upf
CELL_PARAMETERS angstrom
1.8993 1.0966 8.6621
-1.8993 1.0966 8.6621
0.0000 -2.1931 8.6621
ATOMIC_POSITIONS crystal
Cr 0.0000 0.0000 0.0000
Hg 0.4928 0.4928 0.4928
Hg 0.7391 0.7391 0.7391
Br 0.2756 0.2756 0.2756
```

Properties
As for the offset from the most stable computed form: 0.0 meV per atom. Its theoretical density is 8.18 g/cm3. The value obtained for the uncorrected formation energy is 0.10 eV/f.u. The value obtained for the raw total energy is -11.8 eV for the cell shown. The space group is R3m (160).

Record 2
LaScOs | PBE-GGA | optimized geometry Values from VASP.

Geometry as Quantum ESPRESSO input:
```
&SYSTEM
  ibrav = 0, nat = 3, ntyp = 3
/
ATOMIC_SPECIES
La 138.91 La.upf
Sc 44.96 Sc.upf
Os 190.23 Os.upf
CELL_PARAMETERS angstrom
3.2838 0.0000 0.0000
-1.6419 2.8439 0.0000
0.0000 0.0000 7.5567
ATOMIC_POSITIONS crystal
La 0.0000 0.0000 0.0000
Sc 0.3333 0.6667 0.5609
Os 0.6667 0.3333 0.3113
```

Properties
As for the offset from the most stable computed form: 512.6 meV per atom. Its theoretical density is 8.80 g/cm3. The value obtained for the raw total energy is -21.7 eV for the cell shown. The space group is P3m1 (156).

Record 3
Ce3ThPb5 | PBE-GGA | optimized geometry Values from VASP.

Geometry as Quantum ESPRESSO input:
```
&SYSTEM
  ibrav = 0, nat = 18, ntyp = 3
/
ATOMIC_SPECIES
Ce 140.12 Ce.upf
Th 232.04 Th.upf
Pb 207.20 Pb.upf
CELL_PARAMETERS angstrom
9.7452 0.0000 0.0000
-4.8726 8.4396 0.0000
0.0000 0.0000 6.6290
ATOMIC_POSITIONS crystal
Ce 0.0000 0.3778 0.2500
Ce 0.0000 0.6222 0.7500
Ce 0.3778 0.0000 0.2500
Ce 0.3778 0.3778 0.7500
Ce 0.6222 0.0000 0.7500
Ce 0.6222 0.6222 0.2500
Th 0.0000 0.0000 0.0000
Th 0.0000 0.0000 0.5000
Pb 0.0000 0.2937 0.7500
Pb 0.0000 0.7063 0.2500
Pb 0.2937 0.0000 0.7500
Pb 0.2937 0.2937 0.2500
Pb 0.3333 0.6667 0.0000
Pb 0.3333 0.6667 0.5000
Pb 0.6667 0.3333 0.0000
Pb 0.6667 0.3333 0.5000
Pb 0.7063 0.0000 0.2500
Pb 0.7063 0.7063 0.7500
```

Properties
Its theoretical density is 10.28 g/cm3. The value obtained for the raw total energy is -94.1 eV for the cell shown. The space group is P6_3/mcm (193).

Question: raw total energy of number 1 (CrHg2Br)?
Answer: -11.8 eV for the cell shown